# Li2CdCl GGA-PBE optimized geometry
# Energy above the lowest structure with this stoichiometry ... 265 meV/atom
# VASP energy ... -9.02 eV/cell
# Mass density ... 3.4 g/cm3
# Uncorrected formation energy ... -0.607 eV per atom
# Total moment ... 0.00 μB per cell
data_Li2CdCl
_chemical_formula_sum 'Li2 Cd1 Cl1'
_symmetry_space_group_name_H-M 'P 1'
_symmetry_Int_Tables_number 1
_cell_length_a 4.9868
_cell_length_b 4.9868
_cell_length_c 3.2679
_cell_angle_alpha 89.98
_cell_angle_beta 89.98
_cell_angle_gamma 100.49
loop_
_symmetry_equiv_pos_as_xyz
'x,y,z'
loop_
_atom_site_label
_atom_site_fract_x
_atom_site_fract_y
_atom_site_fract_z
Cd1 0.5000 0.0000 0.5000
Cl1 0.0000 0.5000 0.5000
Li1 0.0000 0.0000 0.0000
Li2 0.5000 0.5000 0.0000

# AcPr2YTm5 GGA-PBE optimized geometry
# ΔH_f (0 K) ... 0.258 eV/atom
# VASP energy ... -80.33 eV/cell
# Mass density ... 7.9 g/cm3
# Total moment ... 0.00 μB per cell
data_AcPr2YTm5
_chemical_formula_sum 'Ac2 Pr4 Y2 Tm10'
_symmetry_space_group_name_H-M 'P 1'
_symmetry_Int_Tables_number 1
_cell_length_a 8.8209
_cell_length_b 8.8209
_cell_length_c 9.9661
_cell_angle_alpha 116.27
_cell_angle_beta 116.27
_cell_angle_gamma 90.00
loop_
_symmetry_equiv_pos_as_xyz
'x,y,z'
loop_
_atom_site_label
_atom_site_fract_x
_atom_site_fract_y
_atom_site_fract_z
Ac1 0.2500 0.2500 0.5000
Ac2 0.7500 0.7500 0.5000
Pr1 0.1171 0.3829 0.0000
Pr2 0.6171 0.1171 0.0000
Pr3 0.3829 0.8829 0.0000
Pr4 0.8829 0.6171 0.0000
Y1 0.2500 0.7500 0.5000
Y2 0.7500 0.2500 0.5000
Tm1 0.9255 0.4255 0.2678
Tm2 0.6578 0.1578 0.7322
Tm3 0.0745 0.5745 0.7322
Tm4 0.1578 0.0745 0.7322
Tm5 0.5745 0.6578 0.7322
Tm6 0.8422 0.9255 0.2678
Tm7 0.4255 0.3422 0.2678
Tm8 0.3422 0.8422 0.2678
Tm9 0.5000 0.5000 0.0000
Tm10 0.0000 0.0000 0.0000

> Look up the VASP energy of the first one.

-9.02 eV/cell